Record 1
First-principles (GGA-PBE) data for a relaxed RbNpCdBr6 crystal, as listed in Alexandria.

Structure (POSCAR):
```
RbNpCdBr6
1.0
-6.584 1.584 -3.175
5.332 -3.437 -3.962
-5.331 -13.342 4.401
Br Rb Cd Np
12 2 2 2
Direct
0.371 0.378 0.859 Br
0.007 0.629 0.859 Br
0.378 0.007 0.141 Br
0.993 0.371 0.141 Br
0.629 0.007 0.359 Br
0.993 0.622 0.359 Br
0.007 0.378 0.641 Br
0.622 0.993 0.859 Br
0.629 0.622 0.141 Br
0.622 0.629 0.641 Br
0.371 0.993 0.641 Br
0.378 0.371 0.359 Br
0.000 0.000 0.000 Rb
0.000 0.000 0.500 Rb
0.333 0.667 0.750 Cd
0.667 0.333 0.250 Cd
0.667 0.333 0.750 Np
0.333 0.667 0.250 Np
```

Calculated values
The value obtained for the density of states at the Fermi level is 17.26 states/eV/cell. For the total moment, the calculation gives 8.00 μB/cell. The value obtained for the total DFT energy (no corrections) is -72.6 eV per cell.

=====

Record 2
First-principles (GGA-PBE) data for a relaxed BaCdB3 crystal, as listed in Alexandria.

Structure (POSCAR):
```
BaCdB3
1.0
5.014 0.000 0.000
0.000 5.014 0.000
0.000 0.000 5.014
Ba B Cd
1 3 1
Direct
0.000 0.000 0.000 Ba
0.500 0.000 0.000 B
0.000 0.000 0.500 B
0.000 0.500 0.000 B
0.500 0.500 0.500 Cd
```

Calculated values
The value obtained for the energy relative to the elements is 2.722 eV/atom. The value obtained for the density of states at the Fermi level is 5.05 states/eV/cell. For the total moment, the calculation gives 0.00 μB/cell. The value obtained for the total DFT energy (no corrections) is -9.3 eV per cell. For the energy above the most stable polymorph in this dataset, the calculation gives 1085 meV/atom.

=====

Record 3
First-principles (GGA-PBE) data for a relaxed GaAu6 crystal, as listed in Alexandria.

Structure (POSCAR):
```
GaAu6
1.0
-1.111 -1.583 6.223
1.753 -5.328 -3.317
4.784 4.415 -0.297
Au Ga
6 1
Direct
0.500 0.750 0.250 Au
0.750 0.250 0.500 Au
0.250 0.750 0.500 Au
0.750 0.500 0.250 Au
0.500 0.250 0.750 Au
0.250 0.500 0.750 Au
0.000 0.000 0.000 Ga
```

Calculated values
The value obtained for the energy relative to the elements is 0.564 eV/atom. The value obtained for the density of states at the Fermi level is 1.44 states/eV/cell. For the total moment, the calculation gives 0.00 μB/cell. The value obtained for the total DFT energy (no corrections) is -18.7 eV per cell. For the energy above the most stable polymorph in this dataset, the calculation gives 588 meV/atom.

=====

Record 4
First-principles (GGA-PBE) data for a relaxed HfHRh3 crystal, as listed in Alexandria.

Structure (POSCAR):
```
HfHRh3
1.0
0.380 -3.882 3.268
4.692 1.701 0.993
-2.174 3.074 3.423
Rh Hf H
6 2 2
Direct
0.468 0.750 0.032 Rh
0.750 0.032 0.468 Rh
0.250 0.968 0.532 Rh
0.032 0.468 0.750 Rh
0.968 0.532 0.250 Rh
0.532 0.250 0.968 Rh
0.500 0.500 0.500 Hf
0.000 0.000 0.000 Hf
0.250 0.250 0.250 H
0.750 0.750 0.750 H
```

Calculated values
The value obtained for the density of states at the Fermi level is 10.68 states/eV/cell. For the total moment, the calculation gives 0.00 μB/cell. The value obtained for the total DFT energy (no corrections) is -74.5 eV per cell. For the energy above the most stable polymorph in this dataset, the calculation gives 315 meV/atom.

=====

Record 5
First-principles (GGA-PBE) data for a relaxed CaSm2RhO5 crystal, as listed in Alexandria.

Structure (POSCAR):
```
CaSm2RhO5
1.0
5.816 0.000 0.000
0.000 6.640 0.000
0.000 0.000 6.640
Sm Ca O Rh
4 2 10 2
Direct
0.500 0.673 0.173 Sm
0.500 0.173 0.327 Sm
0.500 0.827 0.673 Sm
0.500 0.327 0.827 Sm
0.000 0.000 0.000 Ca
0.000 0.500 0.500 Ca
0.248 0.355 0.145 O
0.752 0.855 0.355 O
0.248 0.855 0.355 O
0.248 0.645 0.855 O
0.248 0.145 0.645 O
0.752 0.645 0.855 O
0.500 0.500 0.500 O
0.752 0.355 0.145 O
0.752 0.145 0.645 O
0.500 0.000 0.000 O
0.000 0.500 0.000 Rh
0.000 0.000 0.500 Rh
```

Calculated values
The value obtained for the density of states at the Fermi level is 13.40 states/eV/cell. For the total moment, the calculation gives 2.06 μB/cell. The value obtained for the total DFT energy (no corrections) is -132.2 eV per cell.

=====

Record 6
First-principles (GGA-PBE) data for a relaxed Pr3GeO2 crystal, as listed in Alexandria.

Structure (POSCAR):
```
Pr3GeO2
1.0
3.536 0.000 0.000
0.000 6.571 0.000
0.000 0.000 10.741
Pr O Ge
6 4 2
Direct
0.000 0.763 0.600 Pr
0.500 0.135 0.093 Pr
0.500 0.764 0.316 Pr
0.000 0.263 0.400 Pr
0.500 0.635 0.907 Pr
0.500 0.264 0.684 Pr
0.500 0.514 0.496 O
0.500 0.014 0.504 O
0.000 0.512 0.759 O
0.000 0.012 0.241 O
0.000 0.013 0.858 Ge
0.000 0.513 0.142 Ge
```

Calculated values
The value obtained for the density of states at the Fermi level is 5.43 states/eV/cell. For the total moment, the calculation gives 0.00 μB/cell. The value obtained for the total DFT energy (no corrections) is -81.2 eV per cell.

=====

Record 7
First-principles (GGA-PBE) data for a relaxed HoAlAu crystal, as listed in Alexandria.

Structure (POSCAR):
```
HoAlAu
1.0
4.477 0.000 0.000
0.000 7.177 0.000
0.000 0.000 7.762
Au Al Ho
4 4 4
Direct
0.250 0.287 0.406 Au
0.750 0.713 0.594 Au
0.750 0.213 0.906 Au
0.250 0.787 0.094 Au
0.250 0.677 0.421 Al
0.250 0.177 0.079 Al
0.750 0.323 0.579 Al
0.750 0.823 0.921 Al
0.750 0.492 0.198 Ho
0.750 0.992 0.302 Ho
0.250 0.508 0.802 Ho
0.250 0.008 0.698 Ho
```

Calculated values
The value obtained for the energy relative to the elements is -0.797 eV/atom. The value obtained for the density of states at the Fermi level is 6.86 states/eV/cell. For the total moment, the calculation gives 0.00 μB/cell. The value obtained for the total DFT energy (no corrections) is -56.0 eV per cell.

=====

Record 8
First-principles (GGA-PBE) data for a relaxed CdNiBr2 crystal, as listed in Alexandria.

Structure (POSCAR):
```
CdNiBr2
1.0
3.653 -0.014 -0.001
1.879 3.132 -0.001
1.260 0.710 9.368
Br Ni Cd
2 1 1
Direct
0.049 0.049 0.903 Br
0.451 0.451 0.597 Br
0.750 0.750 0.750 Ni
0.250 0.250 0.250 Cd
```

Calculated values
The value obtained for the density of states at the Fermi level is 1.70 states/eV/cell. For the total moment, the calculation gives 1.85 μB/cell. The value obtained for the total DFT energy (no corrections) is -10.7 eV per cell. For the energy above the most stable polymorph in this dataset, the calculation gives 87 meV/atom.

=====

Record 9
First-principles (GGA-PBE) data for a relaxed CeY4Tm2 crystal, as listed in Alexandria.

Structure (POSCAR):
```
CeY4Tm2
1.0
11.764 -2.967 -1.529
-9.172 7.941 -1.529
0.011 0.022 6.719
Y Tm Ce
8 4 2
Direct
0.599 0.562 0.638 Y
0.175 0.712 0.362 Y
0.795 0.184 0.393 Y
0.040 0.151 0.607 Y
0.184 0.795 0.893 Y
0.151 0.040 0.107 Y
0.712 0.175 0.862 Y
0.562 0.599 0.138 Y
0.102 0.922 0.554 Tm
0.922 0.102 0.054 Tm
0.619 0.299 0.447 Tm
0.299 0.619 0.947 Tm
0.426 0.676 0.500 Ce
0.676 0.426 0.000 Ce
```

Calculated values
The value obtained for the energy relative to the elements is 0.074 eV/atom. The value obtained for the density of states at the Fermi level is 26.97 states/eV/cell. For the total moment, the calculation gives 1.95 μB/cell. The value obtained for the total DFT energy (no corrections) is -80.4 eV per cell. For the energy above the most stable polymorph in this dataset, the calculation gives 0 meV/atom.

=====

Record 10
First-principles (GGA-PBE) data for a relaxed LaCoPb2 crystal, as listed in Alexandria.

Structure (POSCAR):
```
LaCoPb2
1.0
6.535 0.059 0.157
5.505 3.522 0.157
3.915 1.164 4.724
La Pb Co
1 2 1
Direct
0.815 0.815 0.749 La
0.173 0.173 0.384 Pb
0.984 0.984 0.052 Pb
0.529 0.529 0.315 Co
```

Calculated values
The value obtained for the energy relative to the elements is -0.044 eV/atom. The value obtained for the density of states at the Fermi level is 3.48 states/eV/cell. For the total moment, the calculation gives 0.00 μB/cell. The value obtained for the total DFT energy (no corrections) is -19.6 eV per cell. For the energy above the most stable polymorph in this dataset, the calculation gives 131 meV/atom.

=====

Record 11
First-principles (GGA-PBE) data for a relaxed Li3AsPd6 crystal, as listed in Alexandria.

Structure (POSCAR):
```
Li3AsPd6
1.0
6.850 -0.581 -0.594
-0.729 6.836 -0.594
-0.729 -0.745 6.821
Li Pd As
6 12 2
Direct
0.579 0.853 0.853 Li
0.421 0.147 0.147 Li
0.147 0.147 0.421 Li
0.853 0.579 0.853 Li
0.147 0.421 0.147 Li
0.853 0.853 0.579 Li
0.739 0.000 0.261 Pd
0.261 0.739 0.000 Pd
0.588 0.588 0.182 Pd
0.000 0.261 0.739 Pd
0.000 0.739 0.261 Pd
0.182 0.588 0.588 Pd
0.412 0.818 0.412 Pd
0.588 0.182 0.588 Pd
0.412 0.412 0.818 Pd
0.818 0.412 0.412 Pd
0.739 0.261 0.000 Pd
0.261 0.000 0.739 Pd
0.500 0.500 0.500 As
0.000 0.000 0.000 As
```

Calculated values
The value obtained for the energy relative to the elements is -0.319 eV/atom. The value obtained for the density of states at the Fermi level is 14.16 states/eV/cell. For the total moment, the calculation gives 0.00 μB/cell. The value obtained for the total DFT energy (no corrections) is -89.5 eV per cell.

=====

Record 12
First-principles (GGA-PBE) data for a relaxed LaPr2WN4 crystal, as listed in Alexandria.

Structure (POSCAR):
```
LaPr2WN4
1.0
3.509 0.000 0.000
-1.755 6.183 0.000
0.000 0.000 12.602
W Pr N La
2 4 8 2
Direct
0.824 0.647 0.750 W
0.176 0.353 0.250 W
0.631 0.261 0.461 Pr
0.369 0.739 0.961 Pr
0.631 0.261 0.039 Pr
0.369 0.739 0.539 Pr
0.269 0.537 0.369 N
0.731 0.463 0.869 N
0.000 0.000 0.500 N
0.422 0.844 0.750 N
0.731 0.463 0.631 N
0.269 0.537 0.131 N
0.000 0.000 0.000 N
0.578 0.156 0.250 N
0.081 0.161 0.750 La
0.919 0.839 0.250 La
```

Calculated values
The value obtained for the density of states at the Fermi level is 6.32 states/eV/cell. For the total moment, the calculation gives 0.00 μB/cell. The value obtained for the total DFT energy (no corrections) is -136.7 eV per cell.